{
  "formula": "ZrAlCoPt",
  "functional": "PBE",
  "state": "optimized geometry",
  "cell": [[0.000, 3.155, 3.155], [3.155, 0.000, 3.155], [3.155, 3.155, 0.000]],
  "species": ["Zr", "Al", "Co", "Pt"],
  "fractional_positions": [[0.000, 0.000, 0.000], [0.500, 0.500, 0.500], [0.750, 0.750, 0.750], [0.250, 0.250, 0.250]],
  "crystal_system": "cubic",
  "dft_energy_ev_per_cell": -28.3,
  "de_polymorph_ev_per_fu": 0.00
}

---

{
  "formula": "PuAlCo",
  "functional": "PBE",
  "state": "optimized geometry",
  "cell": [[4.486, 0.000, 0.000], [-2.243, 3.885, 0.000], [0.000, 0.000, 5.723]],
  "species": ["Pu", "Pu", "Al", "Al", "Co", "Co"],
  "fractional_positions": [[0.000, 0.000, 0.000], [0.000, 0.000, 0.500], [0.333, 0.667, 0.250], [0.667, 0.333, 0.750], [0.333, 0.667, 0.750], [0.667, 0.333, 0.250]],
  "crystal_system": "hexagonal",
  "dft_energy_ev_per_cell": -51.3
}

---

{
  "formula": "PuAlCo",
  "functional": "PBE",
  "state": "optimized geometry",
  "cell": [[7.978, 0.000, 0.000], [-3.989, 6.910, 0.000], [0.000, 0.000, 2.465]],
  "species": ["Pu", "Pu", "Pu", "Al", "Al", "Al", "Co", "Co", "Co"],
  "fractional_positions": [[0.000, 0.307, 0.000], [0.307, 0.000, 0.000], [0.693, 0.693, 0.000], [0.000, 0.000, 0.500], [0.333, 0.667, 0.000], [0.667, 0.333, 0.000], [0.000, 0.606, 0.500], [0.394, 0.394, 0.500], [0.606, 0.000, 0.500]],
  "crystal_system": "hexagonal",
  "dft_energy_ev_per_cell": -72.1
}

---

{
  "formula": "PuAlCo",
  "functional": "PBE",
  "state": "optimized geometry",
  "cell": [[6.685, 0.000, 0.000], [-3.343, 5.789, 0.000], [0.000, 0.000, 3.989]],
  "species": ["Pu", "Pu", "Pu", "Al", "Al", "Al", "Co", "Co", "Co"],
  "fractional_positions": [[0.000, 0.580, 0.000], [0.420, 0.420, 0.000], [0.580, 0.000, 0.000], [0.000, 0.235, 0.500], [0.235, 0.000, 0.500], [0.765, 0.765, 0.500], [0.000, 0.000, 0.000], [0.333, 0.667, 0.500], [0.667, 0.333, 0.500]],
  "crystal_system": "hexagonal",
  "dft_energy_ev_per_cell": -78.3
}

---

{
  "formula": "PuAlCo",
  "functional": "PBE",
  "state": "optimized geometry",
  "cell": [[5.999, 0.000, 0.000], [-3.000, 5.195, 0.000], [0.000, 0.000, 4.490]],
  "species": ["Pu", "Pu", "Pu", "Al", "Al", "Al", "Co", "Co", "Co"],
  "fractional_positions": [[0.000, 0.509, 0.000], [0.491, 0.491, 0.000], [0.509, 0.000, 0.000], [0.000, 0.000, 0.000], [0.333, 0.667, 0.500], [0.667, 0.333, 0.500], [0.000, 0.226, 0.500], [0.226, 0.000, 0.500], [0.774, 0.774, 0.500]],
  "crystal_system": "hexagonal",
  "dft_energy_ev_per_cell": -75.1
}

---

{
  "formula": "PuAlCo",
  "functional": "PBE",
  "state": "optimized geometry",
  "cell": [[4.760, 0.000, 0.000], [-2.380, 4.122, 0.000], [0.000, 0.000, 5.741]],
  "species": ["Pu", "Pu", "Al", "Al", "Co", "Co"],
  "fractional_positions": [[0.333, 0.667, 0.250], [0.667, 0.333, 0.750], [0.333, 0.667, 0.750], [0.667, 0.333, 0.250], [0.000, 0.000, 0.000], [0.000, 0.000, 0.500]],
  "crystal_system": "hexagonal",
  "dft_energy_ev_per_cell": -47.9
}

---

Calculated volume: 15.71, 16.63, 15.10, 17.15, 15.55, 18.78 (Å³/atom)